The following is a GGA-PBE calculation of a geometry-optimized ZrMnCoC2 structure, from the Alexandria database.

Values from the calculation:
- VASP energy (eV per atom) = -7.768
- V (Å³/f.u.) = 61
- formation energy (kcal/mol of atoms) = 20.4

The structure in POSCAR format:
```
ZrMnCoC2
1.0
3.704 0.000 0.000
0.000 4.444 0.000
0.000 0.000 3.704
Mn C Zr Co
1 2 1 1
direct
0.000 0.000 0.000
0.000 0.000 0.500
0.500 0.000 0.000
0.500 0.500 0.500
0.000 0.500 0.000
```

---

The following is a GGA-PBE calculation of a geometry-optimized CoMo3C structure, from the Alexandria database.

Values from the calculation:
- VASP energy (eV per atom) = -9.505
- V (Å³/f.u.) = 68
- formation energy (kcal/mol of atoms) = 6.0

The structure in POSCAR format:
```
CoMo3C
1.0
4.087 0.000 0.000
0.000 4.087 0.000
0.000 0.000 4.087
Mo C Co
3 1 1
direct
0.500 0.000 0.000
0.000 0.000 0.500
0.000 0.500 0.000
0.000 0.000 0.000
0.500 0.500 0.500
```

---

The following is a GGA-PBE calculation of a geometry-optimized CoMo4C structure, from the Alexandria database.

Values from the calculation:
- VASP energy (eV per atom) = -9.683
- V (Å³/f.u.) = 84
- formation energy (kcal/mol of atoms) = 6.0

The structure in POSCAR format:
```
CoMo4C
1.0
-3.433 -2.442 3.611
4.839 -0.263 2.461
-1.695 6.434 -0.543
Mo C Co
8 2 2
direct
0.049 0.742 0.918
0.630 0.823 0.082
0.701 0.431 0.410
0.299 0.569 0.590
0.951 0.258 0.082
0.209 0.979 0.410
0.791 0.021 0.590
0.370 0.177 0.918
0.942 0.192 0.384
0.058 0.808 0.616
0.637 0.387 0.774
0.363 0.613 0.226
```

---

Question: The highest VASP energy belongs to which entry?
Answer: ZrMnCoC2

---

Question: What is the formation energy in the second record?
Answer: 6.0 kcal/mol of atoms